# NaAcZn17 (PBE, relaxed)
data_NaAcZn17
_chemical_formula_sum 'Na3 Ac3 Zn51'
_symmetry_space_group_name_H-M 'R 3 m'
_symmetry_Int_Tables_number 160
_symmetry_space_group_name_Hall 'R 3 -2"'
_cell_length_a 9.1926
_cell_length_b 9.1926
_cell_length_c 13.3535
_cell_angle_alpha 90.00
_cell_angle_beta 90.00
_cell_angle_gamma 120.00
loop_
_atom_site_label
_atom_site_type_symbol
_atom_site_fract_x
_atom_site_fract_y
_atom_site_fract_z
Na1 Na 0.0000 0.0000 0.0000
Ac1 Ac 0.0000 0.0000 0.3184
Zn1 Zn 0.0000 0.0000 0.5628
Zn2 Zn 0.0000 0.0000 0.7626
Zn3 Zn 0.0004 0.5002 0.5045
Zn4 Zn 0.0045 0.2950 0.6580
Zn5 Zn 0.0058 0.5029 0.1563
Zn6 Zn 0.0094 0.5047 0.8109
# DFT total energy   -1.5477 eV/atom
# Density of states at the Fermi level   6.40 states/eV/f.u.
# Energy of formation from the pure elements   -2.3 eV/f.u.

# AlInAs2C (PBE, relaxed)
data_AlInAs2C
_chemical_formula_sum 'Al1 In1 As2 C1'
_symmetry_space_group_name_H-M 'P 4/m m m'
_symmetry_Int_Tables_number 123
_symmetry_space_group_name_Hall '-P 4 2'
_cell_length_a 5.155
_cell_length_b 5.155
_cell_length_c 3.743
_cell_angle_alpha 90.00
_cell_angle_beta 90.00
_cell_angle_gamma 90.00
loop_
_atom_site_label
_atom_site_type_symbol
_atom_site_fract_x
_atom_site_fract_y
_atom_site_fract_z
Al1 Al 0.000 0.000 0.000
In1 In 0.500 0.500 0.500
As1 As 0.000 0.500 0.000
C1 C 0.000 0.000 0.500
# DFT total energy   -4.1035 eV/atom
# Density of states at the Fermi level   3.47 states/eV/f.u.
# Energy of formation from the pure elements   4.5 eV/f.u.

# TmZn6GaCu (PBE, relaxed)
data_TmZn6GaCu
_chemical_formula_sum 'Tm4 Zn24 Ga4 Cu4'
_symmetry_space_group_name_H-M 'I m m a'
_symmetry_Int_Tables_number 74
_symmetry_space_group_name_Hall '-I 2b 2'
_cell_length_a 6.774
_cell_length_b 8.884
_cell_length_c 10.758
_cell_angle_alpha 90.00
_cell_angle_beta 90.00
_cell_angle_gamma 90.00
loop_
_atom_site_label
_atom_site_type_symbol
_atom_site_fract_x
_atom_site_fract_y
_atom_site_fract_z
Tm1 Tm 0.000 0.250 0.201
Zn1 Zn 0.000 0.250 0.507
Zn2 Zn 0.000 0.250 0.926
Zn3 Zn 0.192 0.014 0.374
Ga1 Ga 0.250 0.250 0.750
Cu1 Cu 0.000 0.000 0.000
# DFT total energy   -2.1446 eV/atom
# Density of states at the Fermi level   3.70 states/eV/f.u.
# Energy of formation from the pure elements   -0.1 eV/f.u.

# ZrF (PBE, relaxed)
data_ZrF
_chemical_formula_sum 'Zr16 F16'
_symmetry_space_group_name_H-M 'F d d d'
_symmetry_Int_Tables_number 70
_cell_length_a 7.129
_cell_length_b 7.514
_cell_length_c 9.615
_cell_angle_alpha 90.00
_cell_angle_beta 90.00
_cell_angle_gamma 90.00
loop_
_symmetry_equiv_pos_as_xyz
'x,y,z'
'-x,-y,-z'
'-x+1/4,-y+1/4,z'
'x+1/4,y+1/4,-z'
'x,-y+1/4,-z+1/4'
'-x,y+1/4,z+1/4'
'-x+1/4,y,-z+1/4'
'x+1/4,-y,z+1/4'
'x,y+1/2,z+1/2'
'-x,-y+1/2,-z+1/2'
'-x+1/4,-y+3/4,z+1/2'
'x+1/4,y+3/4,-z+1/2'
'x,-y+3/4,-z+3/4'
'-x,y+3/4,z+3/4'
'-x+1/4,y+1/2,-z+3/4'
'x+1/4,-y+1/2,z+3/4'
'x+1/2,y,z+1/2'
'-x+1/2,-y,-z+1/2'
'-x+3/4,-y+1/4,z+1/2'
'x+3/4,y+1/4,-z+1/2'
'x+1/2,-y+1/4,-z+3/4'
'-x+1/2,y+1/4,z+3/4'
'-x+3/4,y,-z+3/4'
'x+3/4,-y,z+3/4'
'x+1/2,y+1/2,z'
'-x+1/2,-y+1/2,-z'
'-x+3/4,-y+3/4,z'
'x+3/4,y+3/4,-z'
'x+1/2,-y+3/4,-z+1/4'
'-x+1/2,y+3/4,z+1/4'
'-x+3/4,y+1/2,-z+1/4'
'x+3/4,-y+1/2,z+1/4'
loop_
_atom_site_label
_atom_site_type_symbol
_atom_site_fract_x
_atom_site_fract_y
_atom_site_fract_z
Zr1 Zr 0.125 0.328 0.125
F1 F 0.125 0.125 0.503
# DFT total energy   -7.2519 eV/atom
# Polymorph energy (0 for the lowest one)   217 meV per atom
# ΔE_f (raw)   -2042 meV per atom
# Density of states at the Fermi level   0.93 states/eV/f.u.

# AlOsAu2 (PBE, relaxed)
data_AlOsAu2
_chemical_formula_sum 'Al1 Os1 Au2'
_symmetry_space_group_name_H-M 'P 1 m 1'
_symmetry_Int_Tables_number 6
_symmetry_space_group_name_Hall 'P -2y'
_cell_length_a 2.860
_cell_length_b 4.015
_cell_length_c 5.864
_cell_angle_alpha 90.00
_cell_angle_beta 104.07
_cell_angle_gamma 90.00
loop_
_atom_site_label
_atom_site_type_symbol
_atom_site_fract_x
_atom_site_fract_y
_atom_site_fract_z
Al1 Al 0.000 0.000 0.000
Os1 Os 0.423 0.500 0.842
Au1 Au 0.151 0.500 0.295
Au2 Au 0.777 0.000 0.549
# DFT total energy   -5.2902 eV/atom
# Density of states at the Fermi level   2.65 states/eV/f.u.
# Energy of formation from the pure elements   0.4 eV/f.u.

# Tl2ReIr (PBE, relaxed)
data_Tl2ReIr
_chemical_formula_sum 'Tl2 Re1 Ir1'
_symmetry_space_group_name_H-M 'P 1 2/m 1'
_symmetry_Int_Tables_number 10
_symmetry_space_group_name_Hall '-P 2y'
_cell_length_a 2.983
_cell_length_b 4.677
_cell_length_c 5.431
_cell_angle_alpha 90.00
_cell_angle_beta 90.53
_cell_angle_gamma 90.00
loop_
_atom_site_label
_atom_site_type_symbol
_atom_site_fract_x
_atom_site_fract_y
_atom_site_fract_z
Tl1 Tl 0.235 0.000 0.252
Re1 Re 0.500 0.500 0.000
Ir1 Ir 0.000 0.500 0.500
# DFT total energy   -5.5283 eV/atom
# Polymorph energy (0 for the lowest one)   530 meV per atom
# Density of states at the Fermi level   3.10 states/eV/f.u.
# Energy of formation from the pure elements   3.9 eV/f.u.

# Sr2LaTaP (PBE, relaxed)
data_Sr2LaTaP
_chemical_formula_sum 'Sr2 La1 Ta1 P1'
_symmetry_space_group_name_H-M 'P 4/m m m'
_symmetry_Int_Tables_number 123
_symmetry_space_group_name_Hall '-P 4 2'
_cell_length_a 6.318
_cell_length_b 6.318
_cell_length_c 5.156
_cell_angle_alpha 90.00
_cell_angle_beta 90.00
_cell_angle_gamma 90.00
loop_
_atom_site_label
_atom_site_type_symbol
_atom_site_fract_x
_atom_site_fract_y
_atom_site_fract_z
Sr1 Sr 0.000 0.500 0.000
La1 La 0.000 0.000 0.000
Ta1 Ta 0.500 0.500 0.500
P1 P 0.000 0.000 0.500
# DFT total energy   -3.5191 eV/atom
# Density of states at the Fermi level   18.32 states/eV/f.u.
# Energy of formation from the pure elements   8.0 eV/f.u.

# Mg2RhCl (PBE, relaxed)
data_Mg2RhCl
_chemical_formula_sum 'Mg8 Rh4 Cl4'
_symmetry_space_group_name_H-M 'F m -3 m'
_symmetry_Int_Tables_number 225
_symmetry_space_group_name_Hall '-F 4 2 3'
_cell_length_a 6.602
_cell_length_b 6.602
_cell_length_c 6.602
_cell_angle_alpha 90.00
_cell_angle_beta 90.00
_cell_angle_gamma 90.00
loop_
_atom_site_label
_atom_site_type_symbol
_atom_site_fract_x
_atom_site_fract_y
_atom_site_fract_z
Mg1 Mg 0.250 0.250 0.250
Rh1 Rh 0.000 0.000 0.000
Cl1 Cl 0.000 0.000 0.500
# DFT total energy   -3.2668 eV/atom
# Polymorph energy (0 for the lowest one)   639 meV per atom
# ΔE_f (raw)   -170 meV per atom
# Density of states at the Fermi level   0.00 states/eV/f.u.